1.
VASP calculation (PBE) on a relaxed structure of Li2CeBiO6.

Computed properties:
The volume comes out at 12.93 Å³/atom. Its crystal system is trigonal. For the density of states at the Fermi level, the calculation gives 0.693 states/eV per atom. The formation energy without anion corrections comes out at -1789 meV/atom.

Cell: 5.4742 5.4742 14.9507 Å, 90.00 90.00 120.00°
Last column: nearest neighbours and their distance in Å.
Space group R3 (No. 146, hexagonal axes)
Inequivalent atoms, fractional coordinates:
Li  0.0000  0.0000  0.0000 [3 per cell]  3 O 2.03
Li  0.0000  0.0000  0.4902 [3 per cell]  3 O 2.03
Ce  0.0000  0.0000  0.2779 [3 per cell]  6 O 2.21-2.28
Bi  0.0000  0.0000  0.7818 [3 per cell]  6 O 2.12-2.16
O  0.0083  0.3178  0.3783 [9 per cell]  1 Li 2.03, 1 Bi 2.12
O  0.0361  0.6755  0.5413 [9 per cell]  1 Li 2.03, 1 Bi 2.16, 1 Ce 2.21

---

2.
VASP calculation (PBE) on a relaxed structure of CaTaBiO5.

Computed properties:
The volume comes out at 15.24 Å³/atom. Its crystal system is orthorhombic. For the density of states at the Fermi level, the calculation gives 0.000 states/eV per atom. The calculation puts the energy above the most stable polymorph in this dataset at 0 meV/atom. The formation energy without anion corrections comes out at -2470 meV/atom.

Cell: 5.5102 16.4882 10.7383 Å, 90.00 90.00 90.00°
Last column: nearest neighbours and their distance in Å.
Space group Pbca (No. 61)
Inequivalent atoms, fractional coordinates:
Ca  0.0277  0.0620  0.1336 [8 per cell]  7 O 2.37-2.55
Ta  0.0109  0.5852  0.8785 [8 per cell]  4 O 1.88-1.92
Bi  0.0358  0.7334  0.1458 [8 per cell]  3 O 2.15-2.36
O  0.1078  0.1843  0.6907 [8 per cell]  1 Ta 1.91
O  0.2070  0.6377  0.0000 [8 per cell]  1 Ta 1.90
O  0.2312  0.0377  0.5222 [8 per cell]  1 Ta 1.88
O  0.2382  0.5288  0.7748 [8 per cell]  1 Ta 1.92
O  0.2381  0.6595  0.2742 [8 per cell]  2 Bi 2.15-2.22, 1 Ca 2.39

---

3.
VASP calculation (PBE) on a relaxed structure of YEr2Te.

Computed properties:
The volume comes out at 33.20 Å³/atom. Its crystal system is trigonal. For the density of states at the Fermi level, the calculation gives 1.410 states/eV per atom. The calculation puts the energy above the most stable polymorph in this dataset at 461 meV/atom. The formation energy without anion corrections comes out at -186 meV/atom.

Cell: 3.7745 3.7745 32.2873 Å, 90.00 90.00 120.00°
Last column: nearest neighbours and their distance in Å.
Space group R-3m (No. 166, hexagonal axes)
Inequivalent atoms, fractional coordinates:
Y  0.0000  0.0000  0.0000 [3 per cell]  2 Er 3.31
Er  0.0000  0.0000  0.1025 [6 per cell]  3 Te 3.01, 1 Y 3.31
Te  0.0000  0.0000  0.5000 [3 per cell]  6 Er 3.01

---

4.
VASP calculation (PBE) on a relaxed structure of SrTi3O.

Computed properties:
The volume comes out at 17.29 Å³/atom. Its crystal system is cubic. For the density of states at the Fermi level, the calculation gives 1.050 states/eV per atom. The calculation puts the energy above the most stable polymorph in this dataset at 0 meV/atom. The formation energy without anion corrections comes out at -388 meV/atom.

Cell: 4.4216 4.4216 4.4216 Å, 90.00 90.00 90.00°
Last column: nearest neighbours and their distance in Å.
Space group Pm-3m (No. 221)
Inequivalent atoms, fractional coordinates:
Sr  0.0000  0.0000  0.0000 [1 per cell]  12 Ti 3.13
Ti  0.0000  0.5000  0.5000 [3 per cell]  2 O 2.21
O  0.5000  0.5000  0.5000 [1 per cell]  6 Ti 2.21

---

5.
VASP calculation (PBE) on a relaxed structure of Tc2BrF.

Computed properties:
The volume comes out at 13.88 Å³/atom. Its crystal system is cubic. For the density of states at the Fermi level, the calculation gives 0.996 states/eV per atom. The calculation puts the energy above the most stable polymorph in this dataset at 0 meV/atom. The formation energy without anion corrections comes out at 651 meV/atom.

Cell: 6.0551 6.0551 6.0551 Å, 90.00 90.00 90.00°
Last column: nearest neighbours and their distance in Å.
Space group Fm-3m (No. 225)
Inequivalent atoms, fractional coordinates:
Tc  0.2500  0.2500  0.2500 [8 per cell]  4 F 2.62, 4 Br 2.62
Br  0.0000  0.0000  0.0000 [4 per cell]  8 Tc 2.62
F  0.0000  0.0000  0.5000 [4 per cell]  8 Tc 2.62

---

6.
VASP calculation (PBE) on a relaxed structure of BeAl2.

Computed properties:
For the formation energy, the calculation gives 0.186 eV per atom. The volume comes out at 14.01 Å³/atom. Its crystal system is orthorhombic. For the density of states at the Fermi level, the calculation gives 0.349 states/eV per atom.

Cell: 3.7502 11.3134 3.9629 Å, 90.00 90.00 90.00°
Last column: nearest neighbours and their distance in Å.
Space group Cmcm (No. 63)
Inequivalent atoms, fractional coordinates:
Be  0.0000  0.0776  0.2500 [4 per cell]  10 Al 2.57-2.82, 2 Be 2.65
Al  0.0000  0.2548  0.7500 [4 per cell]  4 Be 2.67-2.82, 8 Al 2.73-2.75
Al  0.0000  0.4227  0.2500 [4 per cell]  6 Be 2.57-2.73, 6 Al 2.64-2.75